Computed, not measured: a relaxed structure of NaNdPd at the PBE level of DFT.

Its mass density is 5.84 g/cm³. As for the density of states at the Fermi level: 1.8 states/eV/f.u. For the calculated volume, the calculation gives 155.6 Å³/cell. As for the magnetic moment: 0.0 Bohr magnetons per cell. Its formation energy is -163.8 meV/atom.

The structure belongs to space group P4/mmm (No. 123); the cell edges are 3.5934, 3.5934 and 12.0536 Å and the angles 90.00°, 90.00° and 90.00°. Symmetry generates all atoms from Na at (0.0000, 0.0000, 0.1254), Nd at (0.5000, 0.5000, 0.3558), Pd at (0.0000, 0.0000, 0.5000) and Pd at (0.5000, 0.5000, 0.0000).